TlSn3Sb3 | PBE | relaxed

Computed properties:
ρ = 5.2 g/cm³
Volume = 42.01 Å³ per atom
VASP energy = -50.3 eV for the cell shown
SG = Pm-3n
Formation energy (no corrections) = 0.2249 eV/atom
Magnetic moment = 0.0 μB/cell

Cell lengths 8.3783, 8.3783, 8.3783 Å; angles 90.00, 90.00, 90.00 degrees
Sites, in units of the cell vectors:
Sb1 0.0000 0.2500 0.5000
Sb2 0.0000 0.7500 0.5000
Sb3 0.5000 0.0000 0.7500
Sb4 0.7500 0.5000 0.0000
Sb5 0.5000 0.0000 0.2500
Sb6 0.2500 0.5000 0.0000
Tl1 0.5000 0.5000 0.5000
Tl2 0.0000 0.0000 0.0000
Sn1 0.2500 0.0000 0.5000
Sn2 0.0000 0.5000 0.2500
Sn3 0.5000 0.7500 0.0000
Sn4 0.7500 0.0000 0.5000
Sn5 0.0000 0.5000 0.7500
Sn6 0.5000 0.2500 0.0000

---

TlSnSb2 | PBE | relaxed

Computed properties:
Polymorph energy (0 for the lowest one) = 0.0397 eV per atom
ρ = 7.7 g/cm³
Volume = 30.53 Å³ per atom
VASP energy = -57.1 eV for the cell shown
SG = P2_1/c
Formation energy (no corrections) = 0.0831 eV/atom
Magnetic moment = 0.0 μB/cell

Cell lengths 6.4287, 6.7839, 11.2006 Å; angles 90.00, 89.65, 90.00 degrees
Sites, in units of the cell vectors:
Tl1 0.1679 0.3362 0.1192
Tl2 0.3321 0.8362 0.8808
Tl3 0.6679 0.1638 0.1192
Tl4 0.8321 0.6638 0.8808
Sn1 0.6443 0.1367 0.6237
Sn2 0.1443 0.3633 0.6237
Sn3 0.3557 0.8633 0.3763
Sn4 0.8557 0.6367 0.3763
Sb1 0.5878 0.6933 0.1520
Sb2 0.0878 0.8067 0.1520
Sb3 0.9067 0.1978 0.3900
Sb4 0.9122 0.1933 0.8480
Sb5 0.0933 0.8022 0.6100
Sb6 0.5933 0.6978 0.6100
Sb7 0.4122 0.3067 0.8480
Sb8 0.4067 0.3022 0.3900

---

Tl2SnSb2 | PBE | relaxed

Computed properties:
Polymorph energy (0 for the lowest one) = 0.1548 eV per atom
ρ = 8.0 g/cm³
Volume = 32.00 Å³ per atom
VASP energy = -16.2 eV for the cell shown
SG = I4/mmm
Formation energy (no corrections) = 0.1598 eV/atom
Magnetic moment = 0.0 μB/cell

Cell lengths 4.5413, 4.5413, 8.3959 Å; angles 74.31, 74.31, 90.00 degrees
Sites, in units of the cell vectors:
Sb1 0.4082 0.4082 0.1837
Sb2 0.5918 0.5918 0.8163
Tl1 0.7500 0.2500 0.5000
Tl2 0.2500 0.7500 0.5000
Sn1 0.0000 0.0000 0.0000

---

Tl12Sn3Sb | PBE | relaxed

Computed properties:
ρ = 10.1 g/cm³
Volume = 30.07 Å³ per atom
VASP energy = -44.1 eV for the cell shown
SG = P4/mmm
Formation energy (no corrections) = 0.0264 eV/atom
Magnetic moment = 0.0 μB/cell

Cell lengths 5.1443, 5.1443, 18.1828 Å; angles 90.00, 90.00, 90.00 degrees
Sites, in units of the cell vectors:
Tl1 0.5000 0.5000 0.0000
Tl2 0.5000 0.5000 0.2499
Tl3 0.5000 0.5000 0.5000
Tl4 0.5000 0.5000 0.7501
Tl5 0.5000 0.0000 0.1261
Tl6 0.5000 0.0000 0.3760
Tl7 0.5000 0.0000 0.6240
Tl8 0.5000 0.0000 0.8739
Tl9 0.0000 0.5000 0.1261
Tl10 0.0000 0.5000 0.3760
Tl11 0.0000 0.5000 0.6240
Tl12 0.0000 0.5000 0.8739
Sn1 0.0000 0.0000 0.2576
Sn2 0.0000 0.0000 0.5000
Sn3 0.0000 0.0000 0.7425
Sb1 0.0000 0.0000 0.0000

---

TlSn3Sb | PBE | relaxed

Computed properties:
Polymorph energy (0 for the lowest one) = 0.4821 eV per atom
ρ = 5.8 g/cm³
Volume = 39.00 Å³ per atom
VASP energy = -15.8 eV for the cell shown
SG = Pm-3m
Formation energy (no corrections) = 0.5420 eV/atom
Magnetic moment = 0.0 μB/cell

Cell lengths 5.7990, 5.7990, 5.7990 Å; angles 90.00, 90.00, 90.00 degrees
Sites, in units of the cell vectors:
Sb1 0.0000 0.0000 0.0000
Tl1 0.5000 0.5000 0.5000
Sn1 0.0000 0.5000 0.0000
Sn2 0.0000 0.0000 0.5000
Sn3 0.5000 0.0000 0.0000

---

TlSn2Sb2 | PBE | relaxed

Computed properties:
Polymorph energy (0 for the lowest one) = 0.0000 eV per atom
ρ = 7.1 g/cm³
Volume = 32.06 Å³ per atom
VASP energy = -18.7 eV for the cell shown
SG = R-3m
Formation energy (no corrections) = -0.0232 eV/atom
Magnetic moment = 0.0 μB/cell

Cell lengths 4.3921, 4.3921, 9.9236 Å; angles 77.21, 77.21, 60.00 degrees
Sites, in units of the cell vectors:
Tl1 0.0000 0.0000 0.0000
Sn1 0.2055 0.2055 0.3835
Sn2 0.7945 0.7945 0.6165
Sb1 0.5907 0.5907 0.2280
Sb2 0.4093 0.4093 0.7720

---

Tl2SnSb2 | PBE | relaxed

Computed properties:
Polymorph energy (0 for the lowest one) = 0.0000 eV per atom
ρ = 7.9 g/cm³
Volume = 32.28 Å³ per atom
VASP energy = -33.9 eV for the cell shown
SG = C2/m
Formation energy (no corrections) = 0.0050 eV/atom
Magnetic moment = 0.0 μB/cell

Cell lengths 5.6677, 6.5593, 10.1178 Å; angles 89.64, 73.73, 64.40 degrees
Sites, in units of the cell vectors:
Tl1 0.6878 0.3060 0.3184
Tl2 0.9019 0.2650 0.9313
Tl3 0.3122 0.6940 0.6816
Tl4 0.0981 0.7350 0.0687
Sn1 0.6325 0.0917 0.6433
Sn2 0.3675 0.9083 0.3567
Sb1 0.0598 0.2916 0.5888
Sb2 0.6497 0.8155 0.8852
Sb3 0.9402 0.7084 0.4112
Sb4 0.3503 0.1845 0.1148

---

TlSn5Sb4 | PBE | relaxed

Computed properties:
ρ = 6.2 g/cm³
Volume = 34.53 Å³ per atom
VASP energy = -76.1 eV for the cell shown
SG = Pmmn
Formation energy (no corrections) = 0.0817 eV/atom
Magnetic moment = 0.0 μB/cell

Cell lengths 6.9211, 8.0407, 12.4109 Å; angles 90.00, 90.00, 90.00 degrees
Sites, in units of the cell vectors:
Tl1 0.9940 0.0000 0.0000
Tl2 0.0060 0.5000 0.5000
Sn1 0.3020 0.6985 0.7903
Sn2 0.3020 0.3015 0.7903
Sn3 0.6896 0.5000 0.0000
Sn4 0.3020 0.6985 0.2097
Sn5 0.3020 0.3015 0.2097
Sn6 0.6980 0.8015 0.2903
Sn7 0.6980 0.1985 0.2903
Sn8 0.3104 0.0000 0.5000
Sn9 0.6980 0.1985 0.7097
Sn10 0.6980 0.8015 0.7097
Sb1 0.0885 0.0000 0.7046
Sb2 0.4503 0.8097 0.0000
Sb3 0.4503 0.1903 0.0000
Sb4 0.0885 0.0000 0.2954
Sb5 0.9115 0.5000 0.2046
Sb6 0.5497 0.6903 0.5000
Sb7 0.5497 0.3097 0.5000
Sb8 0.9115 0.5000 0.7954